Density functional theory data (PBE-GGA) for a relaxed structure of PmSi3Ir3.

```
data_PmSi3Ir3
_symmetry_space_group_name_H-M 'P m -3 n'
_symmetry_Int_Tables_number 223
_symmetry_space_group_name_Hall '-P 4n 2 3'
_cell_length_a 6.554
_cell_length_b 6.554
_cell_length_c 6.554
_cell_angle_alpha 90.00
_cell_angle_beta 90.00
_cell_angle_gamma 90.00
loop_
_atom_site_label
_atom_site_type_symbol
_atom_site_fract_x
_atom_site_fract_y
_atom_site_fract_z
Pm1 Pm 0.000 0.000 0.000
Si1 Si 0.000 0.250 0.500
Ir1 Ir 0.000 0.500 0.250
```

Magnetization = 0.0 μB per formula unit
Theoretical density = 9.507 g cm⁻³
Raw total energy = -101.8 eV/cell
Uncorrected formation energy = -0.473 eV/atom



Density functional theory data (PBE-GGA) for a relaxed structure of BaY2As.

```
data_BaY2As
_symmetry_space_group_name_H-M 'P 4/m m m'
_symmetry_Int_Tables_number 123
_symmetry_space_group_name_Hall '-P 4 2'
_cell_length_a 3.694
_cell_length_b 3.694
_cell_length_c 9.741
_cell_angle_alpha 90.00
_cell_angle_beta 90.00
_cell_angle_gamma 90.00
loop_
_atom_site_label
_atom_site_type_symbol
_atom_site_fract_x
_atom_site_fract_y
_atom_site_fract_z
Ba1 Ba 0.000 0.000 0.000
Y1 Y 0.500 0.500 0.336
As1 As 0.000 0.000 0.500
```

Magnetization = 0.0 μB per formula unit
Theoretical density = 4.873 g cm⁻³
Formation energy = -1.786 eV/f.u.
Raw total energy = -21.3 eV/cell